No. 1
Below is a relaxed K2CdTc crystal, with properties calculated at the PBE-GGA level.

Structure (POSCAR):
```
K2CdTc
1.0
2.9333 0.0435 0.0000
-0.0492 2.9332 0.0000
0.0000 0.0000 11.8759
Cd K Tc
1 2 1
Cartesian
1.4420 1.4883 8.9069 Cd
0.0000 0.0000 0.2231 K
0.0000 0.0000 5.7148 K
1.4420 1.4883 2.9690 Tc
```

Calculated values
Formation energy, eV per atom: 0.94
Space group: No. 65

No. 2
Below is a relaxed K2CdTc crystal, with properties calculated at the PBE-GGA level.

Structure (POSCAR):
```
K2CdTc
1.0
5.0732 -0.0112 0.0161
4.0756 3.0210 0.0161
0.5102 0.1679 9.4471
Cd K Tc
1 2 1
Cartesian
7.2765 2.3938 6.3271 Cd
0.5821 0.1915 8.6675 K
2.3652 0.7781 3.1323 K
4.7750 1.5709 5.5392 Tc
```

Calculated values
Formation energy, eV per atom: 0.84
Space group: No. 8

No. 3
Below is a relaxed K2CdTc crystal, with properties calculated at the PBE-GGA level.

Structure (POSCAR):
```
K2CdTc
1.0
9.4444 0.0000 0.0000
0.0000 9.4444 0.0000
4.7222 4.7222 2.9855
K Tc Cd
4 2 2
Cartesian
7.0109 2.3611 0.7464 K
2.4335 7.0833 0.7464 K
7.0833 7.1557 2.2391 K
11.8055 11.7331 2.2391 K
4.7222 4.7222 0.0000 Tc
4.7222 9.4444 1.4927 Tc
0.0000 0.0000 0.0000 Cd
9.4444 4.7222 1.4927 Cd
```

Calculated values
Formation energy, eV per atom: 1.12
Space group: No. 122

No. 4
Below is a relaxed KCdTc crystal, with properties calculated at the PBE-GGA level.

Structure (POSCAR):
```
KCdTc
1.0
2.9231 0.0000 0.0000
-1.4615 2.5315 0.0000
0.0000 0.0000 8.5547
Cd K Tc
1 1 1
Cartesian
0.0000 0.0000 8.2985 Cd
1.4615 0.8438 2.9569 K
0.0000 1.6876 5.8540 Tc
```

Calculated values
Formation energy, eV per atom: 0.88
Space group: No. 156
Offset from the most stable computed form, meV/atom: 45.0

No. 5
Below is a relaxed K2CdTc crystal, with properties calculated at the PBE-GGA level.

Structure (POSCAR):
```
K2CdTc
1.0
5.7149 0.0000 0.0000
0.0000 4.4413 0.0000
0.0000 0.0000 4.4413
Cd K Tc
1 2 1
Cartesian
2.8575 0.0000 2.2206 Cd
0.0000 0.0000 0.0000 K
0.0000 2.2206 2.2206 K
2.8575 2.2206 0.0000 Tc
```

Calculated values
Formation energy, eV per atom: 1.04
Space group: No. 123

No. 6
Below is a relaxed KCdTc crystal, with properties calculated at the PBE-GGA level.

Structure (POSCAR):
```
KCdTc
1.0
-1.0551 -2.5794 6.0906
0.9703 -6.1498 2.4700
1.7132 5.8740 -2.7246
Cd K Tc
1 1 1
Cartesian
-0.0045 -0.4610 0.4521 Cd
-0.0283 -2.9097 2.8535 K
-0.0521 -5.3585 5.2551 Tc
```

Calculated values
Formation energy, eV per atom: 0.83
Space group: No. 44
Offset from the most stable computed form, meV/atom: 0.0

No. 7
Below is a relaxed KCdTc crystal, with properties calculated at the PBE-GGA level.

Structure (POSCAR):
```
KCdTc
1.0
-0.1535 -8.4531 -0.1822
2.8894 -7.5151 -2.5858
-0.1213 7.9279 2.9402
Cd K Tc
1 1 1
Cartesian
0.0523 -0.3051 -0.0529 Cd
0.8934 -5.2145 -0.9039 K
1.7902 -10.4486 -1.8112 Tc
```

Calculated values
Formation energy, eV per atom: 0.85
Space group: No. 107
Offset from the most stable computed form, meV/atom: 19.2

No. 8
Below is a relaxed K2CdTc crystal, with properties calculated at the PBE-GGA level.

Structure (POSCAR):
```
K2CdTc
1.0
-1.6867 -3.2320 11.8296
-0.7269 -5.9723 10.8182
1.3216 -3.8515 11.6897
Cd K Tc
1 2 1
Cartesian
-0.8191 -9.7918 25.7531 Cd
-1.0857 -12.9795 34.1370 K
-0.5524 -6.6041 17.3692 K
-0.2730 -3.2639 8.5844 Tc
```

Calculated values
Formation energy, eV per atom: 0.99
Space group: No. 166

No. 9
Below is a relaxed K4CdTe crystal, with properties calculated at the PBE-GGA level.

Structure (POSCAR):
```
K4CdTe
1.0
0.0000 5.1752 5.1752
5.1752 0.0000 5.1752
5.1752 5.1752 0.0000
K Cd Te
4 1 1
Cartesian
3.8985 6.4520 6.4520 K
6.4520 6.4520 3.8985 K
6.4520 3.8985 6.4520 K
3.8985 3.8985 3.8985 K
0.0000 0.0000 0.0000 Cd
7.7629 7.7629 7.7629 Te
```

Calculated values
Formation energy from raw total energies, eV/atom: -0.054
Space group: No. 216

No. 10
Below is a relaxed KCdTe2 crystal, with properties calculated at the PBE-GGA level.

Structure (POSCAR):
```
KCdTe2
1.0
-0.6409 2.6777 4.9119
-1.7323 -2.8343 4.5467
3.5784 -0.9890 4.2337
Cd K Te
1 1 2
Cartesian
0.6026 -0.5728 6.8462 Cd
0.9038 -0.8592 10.2692 K
0.0000 0.0000 0.0000 Te
0.3013 -0.2864 3.4231 Te
```

Calculated values
Formation energy from raw total energies, eV/atom: -0.115
Space group: No. 216

No. 11
Below is a relaxed KCdTe2 crystal, with properties calculated at the PBE-GGA level.

Structure (POSCAR):
```
KCdTe2
1.0
6.2058 0.0000 0.0000
0.0000 3.3293 -0.0263
0.0000 0.0485 6.2052
Cd K Te
1 1 2
Cartesian
0.0000 0.8474 2.3274 Cd
3.1029 2.5417 5.4048 K
0.0000 0.8773 5.4261 Te
3.1029 0.8487 2.3153 Te
```

Calculated values
Formation energy from raw total energies, eV/atom: -0.425
Space group: No. 6

No. 12
Below is a relaxed KCdTe2 crystal, with properties calculated at the PBE-GGA level.

Structure (POSCAR):
```
KCdTe2
1.0
8.5972 0.0000 0.0000
0.0000 8.5972 0.0000
4.2986 4.2986 3.6992
K Te Cd
2 4 2
Cartesian
4.2986 4.2986 0.0000 K
4.2986 8.5972 1.8496 K
6.8762 2.1493 0.9248 Te
1.7210 6.4479 0.9248 Te
6.4479 6.0196 2.7744 Te
10.7465 11.1749 2.7744 Te
0.0000 0.0000 0.0000 Cd
8.5972 4.2986 1.8496 Cd
```

Calculated values
Formation energy from raw total energies, eV/atom: -0.508
Space group: No. 122

No. 13
Below is a relaxed KCdTe2 crystal, with properties calculated at the PBE-GGA level.

Structure (POSCAR):
```
KCdTe2
1.0
-4.4262 -1.7128 4.0300
3.0843 0.2665 5.4020
-1.8100 3.7863 -4.5993
Cd K Te
1 1 2
Cartesian
0.3016 1.6648 2.7593 Cd
-3.4536 0.6752 2.0733 K
-0.0620 -0.0669 0.4361 Te
-0.6089 -0.6563 4.2799 Te
```

Calculated values
Formation energy from raw total energies, eV/atom: -0.390
Space group: No. 71

No. 14
Below is a relaxed K3CdTe crystal, with properties calculated at the PBE-GGA level.

Structure (POSCAR):
```
K3CdTe
1.0
-5.5651 -3.6108 0.9097
3.6603 -5.6052 0.1436
0.6840 0.6166 6.6323
K Te Cd
3 1 1
Cartesian
1.8301 -2.8026 0.0718 K
0.3420 0.3083 3.3162 K
-2.7826 -1.8054 0.4548 K
0.0000 0.0000 0.0000 Te
-0.6104 -4.2997 3.8428 Cd
```

Calculated values
Formation energy from raw total energies, eV/atom: -0.432
Space group: No. 221
Offset from the most stable computed form, meV/atom: 0.0

No. 15
Below is a relaxed K2CdTe2 crystal, with properties calculated at the PBE-GGA level.

Structure (POSCAR):
```
K2CdTe2
1.0
6.7398 0.0000 0.0000
3.3699 7.9219 -1.0380
3.3699 1.4243 8.9613
K Cd Te
4 2 4
Cartesian
6.7397 2.1730 4.1994 K
6.7398 7.1732 3.7239 K
3.3699 5.0035 1.0944 K
10.1096 4.3427 6.8289 K
3.3699 0.9382 1.3785 Cd
10.1096 8.4081 6.5448 Cd
3.3699 2.5647 3.5603 Te
10.1096 6.7815 4.3630 Te
6.7398 3.3358 7.6689 Te
6.7397 6.0104 0.2544 Te
```

Calculated values
Formation energy from raw total energies, eV/atom: -0.801
Space group: No. 12

No. 16
Below is a relaxed K2Cd2Te crystal, with properties calculated at the PBE-GGA level.

Structure (POSCAR):
```
K2Cd2Te
1.0
-1.3344 1.7926 -3.6605
2.6586 -2.5367 -2.2114
-6.8365 -7.5497 -3.7174
K Te Cd
2 1 2
Cartesian
-0.6481 -1.6261 -3.0725 K
-4.8642 -6.6676 -6.5168 K
0.0000 0.0000 0.0000 Te
-3.7544 -3.0646 -5.1569 Cd
-1.7579 -5.2292 -4.4324 Cd
```

Calculated values
Formation energy from raw total energies, eV/atom: -0.367
Space group: No. 139
Offset from the most stable computed form, meV/atom: 0.0

No. 17
Below is a relaxed K2Cd2Te3 crystal, with properties calculated at the PBE-GGA level.

Structure (POSCAR):
```
K2Cd2Te3
1.0
7.5488 0.0460 2.8276
3.7322 11.5025 1.2836
-0.2705 -0.0772 12.1575
K Cd Te
8 8 12
Cartesian
6.8260 0.3138 4.9776 K
3.7428 2.2905 1.6860 K
6.5328 3.2602 11.1765 K
7.6568 6.5119 8.1230 K
3.3537 4.9593 8.1457 K
4.4777 8.2110 5.0922 K
7.2677 9.1808 14.5827 K
4.1846 11.1574 11.2911 K
6.1126 4.1168 4.7272 Cd
4.8053 0.9229 8.4502 Cd
1.7197 2.3044 4.9938 Cd
2.8795 6.2477 2.0145 Cd
8.1311 5.2235 14.2542 Cd
9.2909 9.1669 11.2749 Cd
6.2052 10.5484 7.8185 Cd
4.8979 7.3544 11.5415 Cd
6.4734 3.0939 7.4769 Te
7.5527 6.6141 4.5956 Te
3.2827 4.7595 4.4774 Te
2.0825 1.6851 7.7888 Te
6.9934 2.6378 14.6813 Te
4.0172 8.8334 1.5874 Te
8.9281 9.7862 8.4799 Te
7.7278 6.7117 11.7913 Te
6.2351 11.3405 5.0736 Te
3.4578 4.8571 11.6731 Te
4.5371 8.3773 8.7918 Te
4.7754 0.1307 11.1951 Te
```

Calculated values
Formation energy from raw total energies, eV/atom: -0.754
Space group: No. 15
Offset from the most stable computed form, meV/atom: 0.0

No. 18
Below is a relaxed KCdTe2 crystal, with properties calculated at the PBE-GGA level.

Structure (POSCAR):
```
KCdTe2
1.0
-1.1280 3.7632 -3.3830
-1.3010 -3.5676 -3.5348
-4.2214 0.0689 1.4842
Cd K Te
1 1 2
Cartesian
-2.6747 1.9160 -0.9494 Cd
-2.7612 -1.7494 -1.0253 K
0.0000 0.0000 0.0000 Te
-1.2145 0.0978 -3.4589 Te
```

Calculated values
Formation energy from raw total energies, eV/atom: -0.290
Space group: No. 123

No. 19
Below is a relaxed K2CdTe2 crystal, with properties calculated at the PBE-GGA level.

Structure (POSCAR):
```
K2CdTe2
1.0
-1.5759 6.5803 0.1090
-5.0053 -1.1255 -4.4131
-7.9041 1.5308 3.3858
K Te Cd
2 2 1
Cartesian
-6.3853 5.4192 0.6714 K
-8.1000 1.5663 -1.5896 K
-6.2396 1.9625 1.3878 Te
-8.2457 5.0230 -2.3060 Te
0.0000 0.0000 0.0000 Cd
```

Calculated values
Formation energy from raw total energies, eV/atom: -0.742
Space group: No. 139

No. 20
Below is a relaxed KCdTe2 crystal, with properties calculated at the PBE-GGA level.

Structure (POSCAR):
```
KCdTe2
1.0
6.8657 0.0285 -0.0148
3.6135 5.8380 0.0148
-4.8975 -3.5443 3.2545
Cd K Te
1 1 2
Cartesian
4.7140 2.6390 0.0000 Cd
3.5047 -0.3468 1.6198 K
0.3971 0.2223 0.0000 Te
2.2055 2.7409 1.6346 Te
```

Calculated values
Formation energy from raw total energies, eV/atom: -0.298
Space group: No. 44

Total magnetization list, top to bottom, in μB per cell: 0.00; 2.38; 6.12; 0.01; 2.35; 0.98; 0.00; 0.77; 0.00; 0.00; 0.00; 0.00; 0.00; 0.00; 0.00; 0.00; 0.00; 0.00; 0.00; 0.00
Final energy list, top to bottom, in eV for the cell shown: -9.70; -10.10; -17.96; -9.74; -9.30; -9.88; -9.82; -9.50; -8.77; -8.76; -10.00; -20.66; -9.86; -9.51; -26.79; -9.00; -74.92; -9.46; -13.10; -9.49
Density list, top to bottom, in g cm⁻³: 4.689; 3.301; 3.599; 6.545; 4.251; 5.259; 6.335; 4.778; 2.374; 5.349; 5.267; 4.940; 4.915; 1.976; 3.031; 3.735; 4.288; 5.611; 2.212; 5.186